# Cu3GeAu PBE optimized geometry
# **DFT formation energy**: 278 kJ/mol of formula units
# **Density of states at the Fermi level**: 1.89 states/eV/cell
# **Excess energy over the best structure of this formula in the dataset**: 12.555 kcal/mol of atoms
# **Calculated volume**: 89 Å³/cell
data_Cu3GeAu
_chemical_formula_sum 'Cu3 Ge1 Au1'
_cell_length_a 4.469
_cell_length_b 4.469
_cell_length_c 4.469
_cell_angle_alpha 90.00
_cell_angle_beta 90.00
_cell_angle_gamma 90.00
_symmetry_space_group_name_H-M 'P m -3 m'
_symmetry_Int_Tables_number 221
_symmetry_space_group_name_Hall '-P 4 2 3'
loop_
_atom_site_label
_atom_site_fract_x
_atom_site_fract_y
_atom_site_fract_z
Cu1 0.000 0.000 0.500
Ge1 0.000 0.000 0.000
Au1 0.500 0.500 0.500